The following is a DFT calculation (GGA-PBE) of a relaxed MgBeTe2 crystal.

Geometry as extended XYZ:
```
8
Lattice="-0.433 -1.181 -4.044 4.171 -4.338 0.819 -6.284 -5.606 2.306" Properties=species:S:1:pos:R:3 pbc="T T T"
Mg -1.193 -8.176 1.617
Mg -1.733 -5.019 -1.455
Te -2.677 -7.529 -0.631
Te 0.441 -0.882 -0.683
Te -2.698 -3.115 0.309
Te 1.049 -4.764 -1.832
Be 2.151 -5.205 0.396
Be -5.055 -8.006 -0.236
```

Calculated values
Crystal system   monoclinic
Relative energy among the computed polymorphs   0 meV per atom
Formation energy without anion corrections   -574 meV/atom
M_tot   0.0 μB/f.u.
Energy   -3.4752 eV per atom

=====

The following is a DFT calculation (GGA-PBE) of a relaxed CdNi2H2 crystal.

Geometry as extended XYZ:
```
10
Lattice="-4.005 2.657 3.894 -4.116 -4.461 -1.189 0.981 -1.434 1.987" Properties=species:S:1:pos:R:3 pbc="T T T"
H -5.464 -2.987 0.540
H -2.049 -1.657 -0.185
H -2.657 1.183 2.165
H -6.072 -0.148 2.890
Cd -4.060 -0.902 1.353
Cd 0.000 0.000 0.000
Ni -5.613 -2.909 2.423
Ni -1.527 -0.330 2.268
Ni -2.641 -3.186 0.757
Ni -4.499 -0.052 3.935
```

Calculated values
Crystal system   tetragonal
Relative energy among the computed polymorphs   379 meV per atom
M_tot   0.0 μB/f.u.
Energy   -3.4949 eV per atom

=====

> The lowest energy belongs to which entry?

CdNi2H2